First-principles (PBE) data for a geometry-optimized Tl2Si2Ag structure, as listed in the Alexandria database.

Symmetry: I4/mmm (139)
Uncorrected formation energy: 0.2937 eV per atom
Calculated volume: 112.5 Å³/f.u.
Offset from the most stable computed form: 0 meV/atom

POSCAR file:
```
Tl2Si2Ag
1.0
-1.7443 1.7443 9.2432
1.7443 -1.7443 9.2432
1.7443 1.7443 -9.2432
Tl Si Ag
2 2 1
direct
0.1050 0.1050 0.0000
0.8950 0.8950 0.0000
0.2500 0.7500 0.5000
0.7500 0.2500 0.5000
0.5000 0.5000 0.0000
```